This record from Alexandria describes a relaxed CaHfTiNi2 crystal. The functional is PBE-GGA.

Unit cell a=4.752 b=4.752 c=4.828 alpha=90.00 beta=90.00 gamma=90.00
Fractional coordinates of all 5 atoms:
Ca (0.000, 0.000, 0.000)
Hf (0.500, 0.500, 0.500)
Ti (0.500, 0.500, 0.000)
Ni (0.000, 0.500, 0.500)
Ni (0.500, 0.000, 0.500)

- symmetry = No. 123
- formation energy (eV/atom) = 0.668
- DOS at the Fermi energy (states/eV/cell) = 5.3

---

This record from Alexandria describes a relaxed CaHf2ZrNi crystal. The functional is PBE-GGA.

Unit cell a=5.077 b=5.077 c=5.488 alpha=90.00 beta=90.00 gamma=90.00
Fractional coordinates of all 5 atoms:
Ca (0.000, 0.000, 0.000)
Hf (0.000, 0.500, 0.500)
Hf (0.500, 0.000, 0.500)
Zr (0.000, 0.000, 0.500)
Ni (0.500, 0.500, 0.000)

- symmetry = No. 123
- formation energy (eV/atom) = 1.462
- DOS at the Fermi energy (states/eV/cell) = 7.1

---

This record from Alexandria describes a relaxed CaHfNpO6 crystal. The functional is PBE-GGA.

Unit cell a=5.590 b=5.590 c=9.828 alpha=90.00 beta=90.00 gamma=120.00
Fractional coordinates of all 18 atoms:
Ca (0.000, 0.000, 0.000)
Ca (0.000, 0.000, 0.500)
Hf (0.333, 0.667, 0.250)
Hf (0.667, 0.333, 0.750)
Np (0.333, 0.667, 0.750)
Np (0.667, 0.333, 0.250)
O (0.002, 0.363, 0.640)
O (0.002, 0.639, 0.860)
O (0.361, 0.363, 0.860)
O (0.361, 0.998, 0.640)
O (0.363, 0.002, 0.140)
O (0.363, 0.361, 0.360)
O (0.637, 0.639, 0.640)
O (0.637, 0.998, 0.860)
O (0.639, 0.002, 0.360)
O (0.639, 0.637, 0.140)
O (0.998, 0.361, 0.140)
O (0.998, 0.637, 0.360)

- symmetry = No. 163
- formation energy (no corrections) (meV per atom) = -3117

---

This record from Alexandria describes a relaxed Ca2HfNpP4 crystal. The functional is PBE-GGA.

Unit cell a=6.784 b=3.939 c=6.978 alpha=90.00 beta=108.83 gamma=90.00
Fractional coordinates of all 8 atoms:
Ca (0.000, 0.000, 0.000)
Ca (0.500, 0.500, 0.000)
Hf (0.000, 0.500, 0.500)
Np (0.500, 0.000, 0.500)
P (0.235, 0.000, 0.722)
P (0.251, 0.500, 0.276)
P (0.749, 0.500, 0.724)
P (0.765, 0.000, 0.278)

- symmetry = No. 10
- formation energy (eV/atom) = -1.113
- DOS at the Fermi energy (states/eV/cell) = 8.4

---

This record from Alexandria describes a relaxed Ca2HfNpSb4 crystal. The functional is PBE-GGA.

Unit cell a=7.500 b=4.337 c=7.740 alpha=90.00 beta=108.70 gamma=90.00
Fractional coordinates of all 8 atoms:
Ca (0.000, 0.000, 0.000)
Ca (0.500, 0.500, 0.000)
Hf (0.000, 0.500, 0.500)
Np (0.500, 0.000, 0.500)
Sb (0.232, 0.000, 0.726)
Sb (0.245, 0.500, 0.268)
Sb (0.755, 0.500, 0.732)
Sb (0.768, 0.000, 0.274)

- symmetry = No. 10
- DOS at the Fermi energy (states/eV/cell) = 9.8
- formation energy (no corrections) (meV per atom) = -621

---

This record from Alexandria describes a relaxed CaHfO3 crystal. The functional is PBE-GGA.

Unit cell a=6.755 b=6.755 c=4.050 alpha=90.00 beta=90.00 gamma=130.22
Fractional coordinates of all 10 atoms:
Ca (0.160, 0.840, 0.000)
Ca (0.840, 0.160, 0.000)
Hf (0.375, 0.625, 0.500)
Hf (0.625, 0.375, 0.500)
O (0.000, 0.500, 0.500)
O (0.254, 0.254, 0.500)
O (0.349, 0.651, 0.000)
O (0.500, 0.000, 0.500)
O (0.651, 0.349, 0.000)
O (0.746, 0.746, 0.500)

- symmetry = No. 65
- DOS at the Fermi energy (states/eV/cell) = 0.0
- formation energy (no corrections) (meV per atom) = -3191

---

This record from Alexandria describes a relaxed Ca2Hf7O16 crystal. The functional is PBE-GGA.

Unit cell a=9.563 b=9.563 c=9.563 alpha=38.82 beta=38.82 gamma=38.82
Fractional coordinates of all 25 atoms:
Ca (0.167, 0.167, 0.167)
Ca (0.833, 0.833, 0.833)
Hf (0.013, 0.757, 0.387)
Hf (0.243, 0.613, 0.987)
Hf (0.387, 0.013, 0.757)
Hf (0.500, 0.500, 0.500)
Hf (0.613, 0.987, 0.243)
Hf (0.757, 0.387, 0.013)
Hf (0.987, 0.243, 0.613)
O (0.074, 0.074, 0.074)
O (0.089, 0.350, 0.652)
O (0.172, 0.738, 0.468)
O (0.262, 0.262, 0.262)
O (0.262, 0.532, 0.828)
O (0.348, 0.911, 0.650)
O (0.350, 0.652, 0.089)
O (0.468, 0.172, 0.738)
O (0.532, 0.828, 0.262)
O (0.650, 0.348, 0.911)
O (0.652, 0.089, 0.350)
O (0.738, 0.468, 0.172)
O (0.738, 0.738, 0.738)
O (0.828, 0.262, 0.532)
O (0.911, 0.650, 0.348)
O (0.926, 0.926, 0.926)

- symmetry = No. 148
- DOS at the Fermi energy (states/eV/cell) = 0.0
- formation energy (no corrections) (meV per atom) = -3493

---

This record from Alexandria describes a relaxed Ca2HfO crystal. The functional is PBE-GGA.

Unit cell a=6.721 b=6.721 c=6.721 alpha=118.32 beta=118.32 gamma=92.94
Fractional coordinates of all 8 atoms:
Ca (0.375, 0.038, 0.163)
Ca (0.788, 0.625, 0.663)
Ca (0.875, 0.212, 0.837)
Ca (0.962, 0.125, 0.337)
Hf (0.250, 0.750, 0.500)
Hf (0.500, 0.500, 0.000)
O (0.000, 0.000, 0.000)
O (0.750, 0.250, 0.500)

- symmetry = No. 122
- DOS at the Fermi energy (states/eV/cell) = 5.5
- formation energy (no corrections) (meV per atom) = -621

---

This record from Alexandria describes a relaxed CaHf2O crystal. The functional is PBE-GGA.

Unit cell a=6.498 b=6.498 c=6.498 alpha=118.72 beta=118.72 gamma=92.24
Fractional coordinates of all 8 atoms:
Ca (0.000, 0.000, 0.000)
Ca (0.750, 0.250, 0.500)
Hf (0.313, 0.625, 0.188)
Hf (0.375, 0.563, 0.688)
Hf (0.437, 0.125, 0.812)
Hf (0.875, 0.687, 0.312)
O (0.250, 0.750, 0.500)
O (0.500, 0.500, 0.000)

- symmetry = No. 122
- DOS at the Fermi energy (states/eV/cell) = 1.6
- formation energy (no corrections) (meV per atom) = -930

---

This record from Alexandria describes a relaxed Ca6HfO8 crystal. The functional is PBE-GGA.

Unit cell a=6.792 b=6.792 c=6.792 alpha=60.00 beta=60.00 gamma=60.00
Fractional coordinates of all 15 atoms:
Ca (0.000, 0.000, 0.500)
Ca (0.000, 0.500, 0.000)
Ca (0.000, 0.500, 0.500)
Ca (0.500, 0.000, 0.000)
Ca (0.500, 0.000, 0.500)
Ca (0.500, 0.500, 0.000)
Hf (0.000, 0.000, 0.000)
O (0.220, 0.220, 0.780)
O (0.220, 0.780, 0.220)
O (0.220, 0.780, 0.780)
O (0.250, 0.250, 0.250)
O (0.750, 0.750, 0.750)
O (0.780, 0.220, 0.220)
O (0.780, 0.220, 0.780)
O (0.780, 0.780, 0.220)

- symmetry = No. 225
- DOS at the Fermi energy (states/eV/cell) = 0.0
- formation energy (no corrections) (meV per atom) = -3105

---

This record from Alexandria describes a relaxed CaHfOsO6 crystal. The functional is PBE-GGA.

Unit cell a=5.329 b=5.329 c=10.023 alpha=90.00 beta=90.00 gamma=120.00
Fractional coordinates of all 18 atoms:
Ca (0.000, 0.000, 0.000)
Ca (0.000, 0.000, 0.500)
Hf (0.333, 0.667, 0.250)
Hf (0.667, 0.333, 0.750)
Os (0.333, 0.667, 0.750)
Os (0.667, 0.333, 0.250)
O (0.020, 0.374, 0.642)
O (0.020, 0.646, 0.858)
O (0.354, 0.374, 0.858)
O (0.354, 0.980, 0.642)
O (0.374, 0.020, 0.142)
O (0.374, 0.354, 0.358)
O (0.626, 0.646, 0.642)
O (0.626, 0.980, 0.858)
O (0.646, 0.020, 0.358)
O (0.646, 0.626, 0.142)
O (0.980, 0.354, 0.142)
O (0.980, 0.626, 0.358)

- symmetry = No. 163
- DOS at the Fermi energy (states/eV/cell) = 10.1
- formation energy (no corrections) (meV per atom) = -2269

---

This record from Alexandria describes a relaxed Ca2HfOsO8 crystal. The functional is PBE-GGA.

Unit cell a=5.115 b=6.415 c=5.145 alpha=90.00 beta=92.41 gamma=90.00
Fractional coordinates of all 12 atoms:
Ca (0.000, 0.247, 0.000)
Ca (0.000, 0.753, 0.000)
Hf (0.500, 0.000, 0.500)
Os (0.500, 0.500, 0.500)
O (0.222, 0.000, 0.219)
O (0.242, 0.500, 0.239)
O (0.326, 0.280, 0.670)
O (0.326, 0.720, 0.670)
O (0.674, 0.280, 0.330)
O (0.674, 0.720, 0.330)
O (0.758, 0.500, 0.761)
O (0.778, 0.000, 0.781)

- symmetry = No. 10
- DOS at the Fermi energy (states/eV/cell) = 4.7
- formation energy (no corrections) (meV per atom) = -2155

---

This record from Alexandria describes a relaxed CaHfP2O8 crystal. The functional is PBE-GGA.

Unit cell a=5.244 b=5.244 c=6.797 alpha=90.00 beta=90.00 gamma=120.00
Fractional coordinates of all 12 atoms:
Ca (0.000, 0.000, 0.000)
Hf (0.000, 0.000, 0.500)
P (0.333, 0.667, 0.778)
P (0.667, 0.333, 0.222)
O (0.172, 0.347, 0.694)
O (0.175, 0.828, 0.694)
O (0.333, 0.667, 0.000)
O (0.347, 0.175, 0.306)
O (0.653, 0.825, 0.694)
O (0.667, 0.333, 0.000)
O (0.825, 0.172, 0.306)
O (0.828, 0.653, 0.306)

- symmetry = No. 147
- DOS at the Fermi energy (states/eV/cell) = 0.0
- formation energy (no corrections) (meV per atom) = -2796

---

This record from Alexandria describes a relaxed CaHfPaO6 crystal. The functional is PBE-GGA.

Unit cell a=5.097 b=5.097 c=10.263 alpha=90.00 beta=90.00 gamma=90.00
Fractional coordinates of all 18 atoms:
Ca (0.000, 0.000, 0.000)
Ca (0.500, 0.500, 0.500)
Hf (0.000, 0.000, 0.333)
Hf (0.500, 0.500, 0.833)
Pa (0.000, 0.000, 0.665)
Pa (0.500, 0.500, 0.165)
O (0.179, 0.179, 0.493)
O (0.199, 0.199, 0.182)
O (0.210, 0.210, 0.818)
O (0.290, 0.710, 0.318)
O (0.301, 0.699, 0.682)
O (0.321, 0.679, 0.993)
O (0.679, 0.321, 0.993)
O (0.699, 0.301, 0.682)
O (0.710, 0.290, 0.318)
O (0.790, 0.790, 0.818)
O (0.801, 0.801, 0.182)
O (0.821, 0.821, 0.493)

- symmetry = No. 102
- DOS at the Fermi energy (states/eV/cell) = 15.3
- formation energy (no corrections) (meV per atom) = -3170

---

This record from Alexandria describes a relaxed CaHf4Pb4O12 crystal. The functional is PBE-GGA.

Unit cell a=6.084 b=6.101 c=8.385 alpha=89.48 beta=87.12 gamma=88.99
Fractional coordinates of all 21 atoms:
Ca (0.000, 0.000, 0.000)
Hf (0.376, 0.977, 0.575)
Hf (0.464, 0.990, 0.079)
Hf (0.883, 0.483, 0.582)
Hf (0.918, 0.491, 0.077)
Pb (0.339, 0.490, 0.314)
Pb (0.379, 0.467, 0.810)
Pb (0.842, 0.977, 0.694)
Pb (0.879, 0.956, 0.349)
O (0.140, 0.229, 0.554)
O (0.161, 0.725, 0.572)
O (0.197, 0.260, 0.107)
O (0.211, 0.728, 0.092)
O (0.373, 0.012, 0.837)
O (0.461, 0.971, 0.332)
O (0.606, 0.696, 0.625)
O (0.624, 0.265, 0.594)
O (0.696, 0.240, 0.073)
O (0.706, 0.755, 0.056)
O (0.913, 0.524, 0.334)
O (0.956, 0.475, 0.829)

- symmetry = No. 1
- DOS at the Fermi energy (states/eV/cell) = 0.3
- formation energy (no corrections) (meV per atom) = -2347

---

This record from Alexandria describes a relaxed CaPm2HfO6 crystal. The functional is PBE-GGA.

Unit cell a=6.039 b=6.039 c=6.039 alpha=57.83 beta=57.83 gamma=57.83
Fractional coordinates of all 10 atoms:
Ca (0.000, 0.000, 0.000)
Pm (0.276, 0.276, 0.276)
Pm (0.777, 0.777, 0.777)
Hf (0.493, 0.493, 0.493)
O (0.130, 0.680, 0.385)
O (0.222, 0.607, 0.844)
O (0.385, 0.130, 0.680)
O (0.607, 0.844, 0.222)
O (0.680, 0.385, 0.130)
O (0.844, 0.222, 0.607)

- symmetry = No. 146
- DOS at the Fermi energy (states/eV/cell) = 0.0
- formation energy (no corrections) (meV per atom) = -3373

---

This record from Alexandria describes a relaxed CaHf2PtO8 crystal. The functional is PBE-GGA.

Unit cell a=4.856 b=6.576 c=4.870 alpha=90.00 beta=90.64 gamma=90.00
Fractional coordinates of all 12 atoms:
Ca (0.000, 0.000, 0.000)
Hf (0.500, 0.243, 0.500)
Hf (0.500, 0.757, 0.500)
Pt (0.000, 0.500, 0.000)
O (0.205, 0.288, 0.201)
O (0.205, 0.712, 0.201)
O (0.288, 0.500, 0.708)
O (0.317, 0.000, 0.678)
O (0.683, 0.000, 0.322)
O (0.712, 0.500, 0.292)
O (0.795, 0.288, 0.799)
O (0.795, 0.712, 0.799)

- symmetry = No. 10
- DOS at the Fermi energy (states/eV/cell) = 6.8
- formation energy (no corrections) (meV per atom) = -2292

---

This record from Alexandria describes a relaxed Ca2HfRhO6 crystal. The functional is PBE-GGA.

Unit cell a=5.516 b=5.671 c=9.582 alpha=90.00 beta=124.67 gamma=90.00
Fractional coordinates of all 20 atoms:
Ca (0.235, 0.052, 0.249)
Ca (0.235, 0.448, 0.749)
Ca (0.765, 0.552, 0.251)
Ca (0.765, 0.948, 0.751)
Hf (0.500, 0.000, 0.000)
Hf (0.500, 0.500, 0.500)
Rh (0.000, 0.000, 0.500)
Rh (0.000, 0.500, 0.000)
O (0.149, 0.206, 0.951)
O (0.149, 0.294, 0.451)
O (0.245, 0.702, 0.949)
O (0.245, 0.798, 0.449)
O (0.342, 0.031, 0.746)
O (0.342, 0.469, 0.246)
O (0.658, 0.531, 0.754)
O (0.658, 0.969, 0.254)
O (0.755, 0.202, 0.551)
O (0.755, 0.298, 0.051)
O (0.851, 0.706, 0.549)
O (0.851, 0.794, 0.049)

- symmetry = No. 14
- DOS at the Fermi energy (states/eV/cell) = 10.6
- formation energy (no corrections) (meV per atom) = -2507

---

This record from Alexandria describes a relaxed Ca2HfRuO6 crystal. The functional is PBE-GGA.

Unit cell a=5.518 b=5.671 c=9.600 alpha=90.00 beta=124.69 gamma=90.00
Fractional coordinates of all 20 atoms:
Ca (0.236, 0.051, 0.249)
Ca (0.236, 0.449, 0.749)
Ca (0.764, 0.551, 0.251)
Ca (0.764, 0.949, 0.751)
Hf (0.500, 0.000, 0.000)
Hf (0.500, 0.500, 0.500)
Ru (0.000, 0.000, 0.500)
Ru (0.000, 0.500, 0.000)
O (0.149, 0.208, 0.952)
O (0.149, 0.292, 0.452)
O (0.245, 0.702, 0.951)
O (0.245, 0.798, 0.451)
O (0.340, 0.029, 0.746)
O (0.340, 0.471, 0.246)
O (0.660, 0.529, 0.754)
O (0.660, 0.971, 0.254)
O (0.755, 0.202, 0.549)
O (0.755, 0.298, 0.049)
O (0.851, 0.708, 0.548)
O (0.851, 0.792, 0.048)

- symmetry = No. 14
- DOS at the Fermi energy (states/eV/cell) = 6.6
- formation energy (no corrections) (meV per atom) = -2579

---

This record from Alexandria describes a relaxed Ca2HfS2O2 crystal. The functional is PBE-GGA.

Unit cell a=8.038 b=8.038 c=8.038 alpha=150.46 beta=150.46 gamma=42.27
Fractional coordinates of all 7 atoms:
Ca (0.136, 0.136, 0.000)
Ca (0.864, 0.864, 0.000)
Hf (0.500, 0.500, 0.000)
S (0.329, 0.329, 0.000)
S (0.671, 0.671, 0.000)
O (0.000, 0.500, 0.500)
O (0.500, 0.000, 0.500)

- symmetry = No. 139
- DOS at the Fermi energy (states/eV/cell) = 0.0
- formation energy (no corrections) (meV per atom) = -2631